# 1
Below is crystalline PrTmPuCd at its relaxed geometry, with properties calculated at the PBE level.

extended XYZ file:
```
4
Lattice="5.4598 0.0000 0.0000 2.7299 4.7284 0.0000 2.7299 1.5761 4.4579" Properties=species:S:1:pos:R:3 pbc="T T T"
Pr 5.4598 3.1522 2.2290
Cd 8.1898 4.7284 3.3435
Tm 0.0000 0.0000 0.0000
Pu 2.7299 1.5761 1.1145
```

Calculated values
space-group type = F-43m, No. 216
total energy = -6.0399 eV/atom
calculated volume = 115 Å³/cell
formation energy from the elements = 85 meV/atom
D(E_F) = 15.00 states/eV/f.u.

=====

# 2
Below is crystalline LaGdCuSb at its relaxed geometry, with properties calculated at the PBE level.

extended XYZ file:
```
4
Lattice="5.3009 0.0000 0.0000 2.6504 4.5907 0.0000 2.6504 1.5302 4.3281" Properties=species:S:1:pos:R:3 pbc="T T T"
Sb 7.9513 4.5907 3.2461
Gd 0.0000 0.0000 0.0000
Cu 2.6504 1.5302 1.0820
La 5.3009 3.0605 2.1641
```

Calculated values
space-group type = F-43m, No. 216
formation energy (no corrections) = -0.5342 eV/atom
total energy = -7.3409 eV/atom
calculated volume = 105 Å³/cell
D(E_F) = 5.25 states/eV/f.u.

=====

# 3
Below is crystalline ZrMnSi2 at its relaxed geometry, with properties calculated at the PBE level.

extended XYZ file:
```
4
Lattice="-1.2242 1.7415 -2.0139 -1.6821 -2.2241 -0.9007 -4.6368 1.7518 4.3336" Properties=species:S:1:pos:R:3 pbc="T T T"
Mn -4.9308 1.0726 1.7929
Si -4.3733 1.6523 4.0873
Si -2.5819 0.9755 2.4130
Zr -2.6124 0.1967 -0.3739
```

Calculated values
space-group type = P4/mmm, No. 123
formation energy (no corrections) = -0.4336 eV/atom
total energy = -7.5745 eV/atom
calculated volume = 57 Å³/cell
D(E_F) = 4.35 states/eV/f.u.